Entry from Alexandria: a geometry-optimized AcEuAuSe structure (GGA-PBE).

Cell: 5.4267 5.4267 5.4267 Å, 60.00 60.00 60.00°
Closest atoms and distances in Å follow each position.
Positions (direct):
Ac 0.0000 0.0000 0.0000  4 Se 3.32, 4 Au 3.32
Eu 0.5000 0.5000 0.5000  4 Au 3.32, 4 Se 3.32
Au 0.2500 0.2500 0.2500  4 Eu 3.32, 4 Ac 3.32
Se 0.7500 0.7500 0.7500  4 Eu 3.32, 4 Ac 3.32

Values from the calculation:
Magnetic moment (μB per formula unit): 8.55
V (Å³ per cell): 113.00
DOS(E_F) (states/eV/f.u.): 3.95
Uncorrected formation energy (meV/atom): -1061
Space group: F-43m